Record 1
Computed, not measured: Sc3AuN after structural relaxation at the PBE-GGA level of DFT.

Properties
formation energy without anion corrections: -1191 meV/atom
density: 6.70 g cm⁻³
calculated total energy: -219.33 eV for the cell shown

```
data_Sc3AuN
_space_group_name_H-M_alt 'R -3 c'
_space_group_IT_number 167
_space_group_name_Hall '-R 3 2"c'
_cell_length_a 6.2460
_cell_length_b 6.2460
_cell_length_c 15.2147
_cell_angle_alpha 90.00
_cell_angle_beta 90.00
_cell_angle_gamma 120.00
loop_
_atom_site_label
_atom_site_fract_x
_atom_site_fract_y
_atom_site_fract_z
Sc1 0.0000 0.4434 0.2500
Au1 0.0000 0.0000 0.2500
N1 0.0000 0.0000 0.0000
```

Record 2
Computed, not measured: Nd6BiP3Se2 after structural relaxation at the PBE-GGA level of DFT.

Properties
formation energy without anion corrections: -1578 meV/atom
density: 6.67 g cm⁻³
calculated total energy: -149.24 eV for the cell shown

```
data_Nd6BiP3Se2
_space_group_name_H-M_alt 'C 1 2/m 1'
_space_group_IT_number 12
_space_group_name_Hall '-C 2y'
_cell_length_a 18.6868
_cell_length_b 4.2369
_cell_length_c 8.6015
_cell_angle_alpha 90.00
_cell_angle_beta 104.42
_cell_angle_gamma 90.00
loop_
_atom_site_label
_atom_site_fract_x
_atom_site_fract_y
_atom_site_fract_z
Nd1 0.0031 0.0000 0.2307
Nd2 0.1628 0.5000 0.0939
Nd3 0.1743 0.5000 0.5750
Bi1 0.0000 0.5000 0.5000
P1 0.0000 0.5000 0.0000
P2 0.1662 0.0000 0.3313
Se1 0.1686 0.0000 0.8362
```